# 1
The following is a PBE-GGA calculation of crystalline Al14Cu3Se24 at its relaxed geometry, from Alexandria.

Geometry as POSCAR:
```
Al14Cu3Se24
1.0
7.465 -0.012 0.013
3.690 6.489 0.013
0.069 0.040 18.390
Cu Se Al
3 24 14
Direct
0.997 0.997 0.004 Cu
0.336 0.336 0.668 Cu
0.659 0.659 0.330 Cu
0.019 0.478 0.130 Se
0.488 0.488 0.127 Se
0.666 0.666 0.948 Se
0.511 0.511 0.622 Se
0.327 0.327 0.284 Se
0.823 0.823 0.794 Se
0.176 0.646 0.958 Se
0.158 0.698 0.461 Se
0.512 0.987 0.622 Se
0.821 0.358 0.794 Se
0.004 0.004 0.616 Se
0.671 0.671 0.463 Se
0.334 0.334 0.799 Se
0.987 0.512 0.622 Se
0.171 0.171 0.956 Se
0.837 0.316 0.286 Se
0.840 0.840 0.292 Se
0.646 0.176 0.958 Se
0.478 0.019 0.130 Se
0.698 0.158 0.461 Se
0.988 0.988 0.132 Se
0.161 0.161 0.460 Se
0.316 0.837 0.286 Se
0.358 0.821 0.794 Se
0.343 0.343 0.414 Al
0.491 0.491 0.879 Al
0.159 0.669 0.210 Al
0.669 0.669 0.701 Al
0.016 0.492 0.878 Al
0.492 0.016 0.878 Al
0.669 0.159 0.210 Al
0.353 0.830 0.543 Al
0.675 0.675 0.084 Al
0.006 0.006 0.366 Al
0.830 0.353 0.543 Al
0.002 0.002 0.750 Al
0.327 0.327 0.042 Al
0.829 0.829 0.543 Al
```

Properties
Formation energy (no corrections) ... -67.1 kJ per mole of atoms
SG ... Cm (8)

# 2
The following is a PBE-GGA calculation of crystalline Ba4LiEr3Se8 at its relaxed geometry, from Alexandria.

Geometry as POSCAR:
```
Ba4LiEr3Se8
1.0
-1.204 3.074 -7.950
-7.913 -3.878 -0.301
1.798 5.386 6.471
Ba Er Se Li
4 3 8 1
Direct
0.500 0.000 0.500 Ba
0.000 0.000 0.000 Ba
0.500 0.000 0.000 Ba
0.000 0.000 0.500 Ba
0.500 0.500 0.500 Er
0.500 0.500 0.000 Er
0.000 0.500 0.500 Er
0.762 0.291 0.524 Se
0.762 0.292 0.030 Se
0.238 0.709 0.476 Se
0.737 0.711 0.474 Se
0.263 0.289 0.526 Se
0.238 0.708 0.970 Se
0.268 0.292 0.030 Se
0.732 0.708 0.970 Se
0.000 0.500 0.000 Li
```

Properties
Formation energy (no corrections) ... -176.7 kJ per mole of atoms
SG ... R-3m (166)

# 3
The following is a PBE-GGA calculation of crystalline BaTa2Ni at its relaxed geometry, from Alexandria.

Geometry as POSCAR:
```
BaTa2Ni
1.0
5.218 0.000 0.000
0.000 5.218 0.000
2.609 2.609 8.501
Ta Ba Ni
4 2 2
Direct
0.375 0.625 0.750 Ta
0.375 0.125 0.250 Ta
0.375 0.625 0.250 Ta
0.875 0.625 0.750 Ta
0.750 0.250 0.500 Ba
0.000 0.000 0.000 Ba
0.500 0.500 0.000 Ni
0.250 0.750 0.500 Ni
```

Properties
Formation enthalpy at 0 K ... 108.0 kJ/mol of atoms
SG ... I4_1/amd (141)

# 4
The following is a PBE-GGA calculation of crystalline Ac2TbY2 at its relaxed geometry, from Alexandria.

Geometry as POSCAR:
```
Ac2TbY2
1.0
-1.909 -1.909 -4.107
4.321 0.568 -2.272
1.086 -6.919 5.651
Ac Tb Y
2 1 2
Direct
0.250 0.750 0.500 Ac
0.750 0.250 0.500 Ac
0.000 0.000 0.000 Tb
0.592 0.592 0.184 Y
0.408 0.408 0.816 Y
```

Properties
Formation enthalpy at 0 K ... 47.4 kJ/mol of atoms
SG ... I4/mmm (139)

# 5
The following is a PBE-GGA calculation of crystalline Ce2Pr3HoTe6 at its relaxed geometry, from Alexandria.

Geometry as POSCAR:
```
Ce2Pr3HoTe6
1.0
-2.519 -2.489 2.693
7.460 -3.298 3.929
-0.906 9.188 3.972
Te Pr Ho Ce
6 3 1 2
Direct
0.662 0.084 0.323 Te
0.667 0.583 0.334 Te
0.000 0.239 0.000 Te
0.338 0.916 0.677 Te
0.333 0.417 0.666 Te
0.000 0.761 0.000 Te
0.831 0.166 0.662 Pr
0.500 0.500 0.000 Pr
0.169 0.834 0.338 Pr
0.500 0.000 0.000 Ho
0.168 0.336 0.335 Ce
0.832 0.664 0.665 Ce
```

Properties
Formation energy (no corrections) ... -134.0 kJ per mole of atoms
SG ... C2/m (12)

# 6
The following is a PBE-GGA calculation of crystalline FeAgAs2Br at its relaxed geometry, from Alexandria.

Geometry as POSCAR:
```
FeAgAs2Br
1.0
-0.028 -0.564 -4.410
-0.844 -4.329 0.559
-5.419 1.044 -0.098
As Fe Br Ag
2 1 1 1
Direct
0.500 0.000 0.000 As
0.000 0.500 0.000 As
0.000 0.000 0.000 Fe
0.000 0.000 0.500 Br
0.500 0.500 0.500 Ag
```

Properties
Formation energy (no corrections) ... 36.1 kJ per mole of atoms
SG ... P4/mmm (123)

# 7
The following is a PBE-GGA calculation of crystalline Ac3TlGa2Au6 at its relaxed geometry, from Alexandria.

Geometry as POSCAR:
```
Ac3TlGa2Au6
1.0
-6.086 2.323 -0.154
2.552 -2.804 -5.299
-3.018 -7.732 2.638
Au Ac Ga Tl
6 3 2 1
Direct
0.185 0.814 0.273 Au
0.815 0.186 0.727 Au
0.815 0.629 0.727 Au
0.629 0.814 0.273 Au
0.185 0.371 0.273 Au
0.371 0.186 0.727 Au
0.000 0.000 0.000 Ac
0.333 0.667 0.640 Ac
0.667 0.333 0.360 Ac
0.667 0.333 0.972 Ga
0.333 0.667 0.028 Ga
0.000 0.000 0.500 Tl
```

Properties
Formation enthalpy at 0 K ... -47.2 kJ/mol of atoms
SG ... P-3m1 (164)

# 8
The following is a PBE-GGA calculation of crystalline In12Hg6Bi at its relaxed geometry, from Alexandria.

Geometry as POSCAR:
```
In12Hg6Bi
1.0
-0.126 -7.177 -5.315
4.909 -1.748 7.253
-8.341 2.030 2.465
Bi In Hg
1 12 6
Direct
0.000 0.000 0.000 Bi
0.332 0.058 0.332 In
0.500 0.120 0.880 In
0.058 0.332 0.332 In
0.500 0.880 0.120 In
0.880 0.500 0.120 In
0.668 0.942 0.668 In
0.668 0.668 0.942 In
0.332 0.332 0.058 In
0.120 0.880 0.500 In
0.880 0.120 0.500 In
0.942 0.668 0.668 In
0.120 0.500 0.880 In
0.675 0.307 0.307 Hg
0.693 0.693 0.325 Hg
0.307 0.307 0.675 Hg
0.325 0.693 0.693 Hg
0.307 0.675 0.307 Hg
0.693 0.325 0.693 Hg
```

Properties
Formation enthalpy at 0 K ... 5.7 kJ/mol of atoms
SG ... R-3m (166)

# 9
The following is a PBE-GGA calculation of crystalline Ac2BePb at its relaxed geometry, from Alexandria.

Geometry as POSCAR:
```
Ac2BePb
1.0
-0.944 -1.807 -3.121
1.065 -3.537 -0.501
-10.141 -5.597 4.081
Be Ac Pb
1 2 1
Direct
0.000 0.000 0.000 Be
0.087 0.087 0.739 Ac
0.913 0.913 0.261 Ac
0.500 0.500 0.500 Pb
```

Properties
Formation enthalpy at 0 K ... 63.3 kJ/mol of atoms
SG ... R-3m (166)

# 10
The following is a PBE-GGA calculation of crystalline Dy4Sb at its relaxed geometry, from Alexandria.

Geometry as POSCAR:
```
Dy4Sb
1.0
-1.177 -5.068 -2.381
5.556 -1.360 0.146
-0.695 -2.282 5.201
Dy Sb
4 1
Direct
0.000 0.000 0.000 Dy
0.000 0.500 0.500 Dy
0.500 0.000 0.500 Dy
0.500 0.500 0.000 Dy
0.500 0.500 0.500 Sb
```

Properties
Formation energy (no corrections) ... 10.6 kJ per mole of atoms
SG ... Pm-3m (221)

# 11
The following is a PBE-GGA calculation of crystalline Co2AgIr at its relaxed geometry, from Alexandria.

Geometry as POSCAR:
```
Co2AgIr
1.0
4.083 0.000 0.000
0.000 2.690 0.024
0.000 1.293 4.993
Co Ir Ag
2 1 1
Direct
0.500 0.059 0.259 Co
0.000 0.182 0.008 Co
0.000 0.461 0.455 Ir
0.500 0.798 0.778 Ag
```

Properties
Formation enthalpy at 0 K ... 29.5 kJ/mol of atoms
SG ... Amm2 (38)

# 12
The following is a PBE-GGA calculation of crystalline TlHgTe4 at its relaxed geometry, from Alexandria.

Geometry as POSCAR:
```
TlHgTe4
1.0
0.000 4.617 4.617
4.617 0.000 4.617
4.617 4.617 0.000
Te Hg Tl
4 1 1
Direct
0.877 0.374 0.374 Te
0.374 0.374 0.374 Te
0.374 0.877 0.374 Te
0.374 0.374 0.877 Te
0.000 0.000 0.000 Hg
0.750 0.750 0.750 Tl
```

Properties
Formation energy (no corrections) ... 8.4 kJ per mole of atoms
SG ... F-43m (216)

no.,DOS at the Fermi energy (states/eV per cell),total magnetic moment (Bohr magnetons per cell)
1,13.14,0.00
2,4.67,0.00
3,11.95,0.00
4,9.59,0.00
5,17.91,2.42
6,2.92,0.00
7,6.05,0.00
8,8.97,0.00
9,5.15,0.00
10,9.84,1.78
11,4.64,4.07
12,6.62,0.00